Density functional theory data (PBE) for a relaxed CaSm5Tm6 crystal.

## Properties
**V**: 32.17 A^3/atom
**Crystal system**: monoclinic
**Total energy**: -4.318 eV/atom
**Formation enthalpy at 0 K**: 0.61 eV/f.u.
**Calculated density**: 7.77 g cm⁻³
**Magnetization**: 0.00 μB/f.u.

a b c (Å): 11.8031 10.7276 6.1916
angles (deg): 90.00 100.01 90.00
Closest atoms and distances in Å follow each position.
Space group C2/m (No. 12)
Asymmetric unit:
Ca  0.0000  0.0000  0.0000 (multiplicity 2)  6 Sm 3.59-3.62, 6 Tm 3.61-3.62
Sm  0.0000  0.1699  0.5000 (multiplicity 4)  6 Tm 3.49-3.60, 4 Sm 3.54-3.65, 2 Ca 3.59
Sm  0.0000  0.3376  0.0000 (multiplicity 4)  5 Sm 3.48-3.58, 6 Tm 3.53-3.62, 1 Ca 3.62
Sm  0.0000  0.5000  0.5000 (multiplicity 2)  6 Tm 3.52-3.54, 6 Sm 3.54-3.55
Tm  0.2457  0.3307  0.7467 (multiplicity 8)  5 Sm 3.49-3.62, 6 Tm 3.53-3.64, 1 Ca 3.62
Tm  0.2478  0.5000  0.2566 (multiplicity 4)  5 Sm 3.52-3.59, 6 Tm 3.54-3.64, 1 Ca 3.61


Density functional theory data (PBE) for a relaxed ZnCu2Br crystal.

## Properties
**V**: 17.79 A^3/atom
**Crystal system**: monoclinic
**Total energy**: -2.721 eV/atom
**Formation energy from raw total energies**: 0.064 eV/atom
**Energy above the most stable polymorph in this dataset**: 0.019 eV per atom
**Calculated density**: 6.36 g cm⁻³
**Magnetization**: 0.00 μB/f.u.

a b c (Å): 3.3926 3.3223 6.3134
angles (deg): 90.00 90.13 90.00
Closest atoms and distances in Å follow each position.
Space group P2/m (No. 10)
Asymmetric unit:
Zn  0.0000  0.0000  0.0000 (multiplicity 1)  8 Cu 2.64-2.65
Cu  0.4974  0.5000  0.8144 (multiplicity 2)  1 Cu 2.34, 2 Br 2.59
Br  0.5000  0.0000  0.5000 (multiplicity 1)  4 Cu 2.59


Density functional theory data (PBE) for a relaxed Zn2TcAs crystal.

## Properties
**V**: 16.11 A^3/atom
**Crystal system**: tetragonal
**Total energy**: -4.140 eV/atom
**Formation enthalpy at 0 K**: 1.00 eV/f.u.
**Calculated density**: 7.83 g cm⁻³
**Magnetization**: 0.84 μB/f.u.

a b c (Å): 2.7533 2.7533 8.4997
angles (deg): 90.00 90.00 90.00
Closest atoms and distances in Å follow each position.
Space group P4/mmm (No. 123)
Asymmetric unit:
Zn  0.0000  0.0000  0.2264 (multiplicity 2)  4 Tc 2.74, 4 Zn 2.75, 4 As 3.03
Tc  0.5000  0.5000  0.0000 (multiplicity 1)  8 Zn 2.74, 4 Tc 2.75
As  0.5000  0.5000  0.5000 (multiplicity 1)  4 As 2.75, 8 Zn 3.03


Density functional theory data (PBE) for a relaxed YCdRhAu crystal.

## Properties
**V**: 19.89 A^3/atom
**Crystal system**: cubic
**Total energy**: -5.052 eV/atom
**Formation enthalpy at 0 K**: -2.20 eV/f.u.
**Calculated density**: 10.46 g cm⁻³
**Magnetization**: 0.00 μB/f.u.

a b c (Å): 6.8279 6.8279 6.8279
angles (deg): 90.00 90.00 90.00
Closest atoms and distances in Å follow each position.
Space group F-43m (No. 216)
Asymmetric unit:
Y  0.0000  0.0000  0.0000 (multiplicity 4)  4 Rh 2.96, 4 Au 2.96
Cd  0.0000  0.0000  0.5000 (multiplicity 4)  4 Rh 2.96, 4 Au 2.96
Rh  0.2500  0.2500  0.7500 (multiplicity 4)  4 Cd 2.96, 4 Y 2.96
Au  0.2500  0.2500  0.2500 (multiplicity 4)  4 Cd 2.96, 4 Y 2.96


Density functional theory data (PBE) for a relaxed Tb3HoEr4 crystal.

## Properties
**V**: 31.35 A^3/atom
**Crystal system**: orthorhombic
**Total energy**: -4.586 eV/atom
**Formation enthalpy at 0 K**: 0.03 eV/f.u.
**Energy above the most stable polymorph in this dataset**: 0.000 eV per atom
**Calculated density**: 8.68 g cm⁻³
**Magnetization**: 0.00 μB/f.u.

a b c (Å): 11.1540 7.2119 6.2358
angles (deg): 90.00 90.00 90.00
Closest atoms and distances in Å follow each position.
Space group Pmn2_1 (No. 31)
Asymmetric unit:
Tb  0.0000  0.1263  0.0000 (multiplicity 2)  4 Tb 3.48-3.49, 6 Er 3.48-3.62, 2 Ho 3.61
Tb  0.2500  0.1261  0.3334 (multiplicity 4)  4 Tb 3.48-3.61, 2 Ho 3.48-3.49, 6 Er 3.48-3.62
Ho  0.0000  0.8737  0.4998 (multiplicity 2)  6 Er 3.47-3.62, 6 Tb 3.48-3.61
Er  0.0000  0.3762  0.5008 (multiplicity 2)  6 Er 3.47-3.60, 4 Tb 3.48-3.61, 2 Ho 3.59-3.62
Er  0.0000  0.6237  0.0003 (multiplicity 2)  6 Er 3.47-3.60, 4 Tb 3.48-3.62, 2 Ho 3.60
Er  0.2495  0.6238  0.3332 (multiplicity 4)  6 Er 3.47-3.59, 1 Ho 3.47, 5 Tb 3.48-3.62


Density functional theory data (PBE) for a relaxed RbTlTe4 crystal.

## Properties
**V**: 35.20 A^3/atom
**Crystal system**: cubic
**Total energy**: -2.845 eV/atom
**Formation energy from raw total energies**: -0.195 eV/atom
**Energy above the most stable polymorph in this dataset**: 0.172 eV per atom
**Calculated density**: 6.29 g cm⁻³
**Magnetization**: 0.00 μB/f.u.

a b c (Å): 9.4532 9.4532 9.4532
angles (deg): 90.00 90.00 90.00
Closest atoms and distances in Å follow each position.
Space group F-43m (No. 216)
Asymmetric unit:
Rb  0.0000  0.0000  0.0000 (multiplicity 4)  12 Te 3.92, 4 Tl 4.09
Tl  0.2500  0.2500  0.7500 (multiplicity 4)  12 Te 3.92, 4 Rb 4.09
Te  0.1245  0.1245  0.3755 (multiplicity 16)  6 Te 3.33-3.35